{"formula": "Nd4GeCI2", "functional": "PBE-GGA", "state": "optimized geometry", "lattice": [[-0.0612, -3.3547, 2.3679], [-0.9096, -4.1226, -5.8642], [8.0245, 0.7042, 1.2050]], "species": ["Nd", "Nd", "Nd", "Nd", "Ge", "C", "I", "I"], "fractional_positions": [[0.5000, 0.2619, 0.1871], [0.5000, 0.7381, 0.8129], [0.0000, 0.2980, 0.8215], [0.0000, 0.7020, 0.1785], [0.0000, 0.0000, 0.0000], [0.5000, 0.5000, 0.0000], [0.5000, 0.0000, 0.5000], [0.0000, 0.5000, 0.5000]], "final_energy_ev_per_atom": -5.328, "rho_kg_m3": 6579, "crystal_system": "monoclinic", "formation_energy_uncorrected_ev_per_atom": -0.826}


{"formula": "YFeCu2", "functional": "PBE-GGA", "state": "optimized geometry", "lattice": [[4.8970, -0.0005, 0.0000], [1.6132, 4.6237, 0.0000], [-3.2551, -2.3116, 2.8358]], "species": ["Cu", "Cu", "Fe", "Y"], "fractional_positions": [[0.0000, 0.0000, 0.0000], [0.5000, 0.5000, 0.0000], [0.2500, 0.7500, 0.5000], [0.7500, 0.2500, 0.5000]], "final_energy_ev_per_atom": -5.653, "rho_kg_m3": 7030, "crystal_system": "tetragonal", "formation_energy_ev_per_atom": 0.1265}


{"formula": "TeP2O", "functional": "PBE-GGA", "state": "optimized geometry", "lattice": [[3.7909, -0.5731, -2.2933], [2.1604, -3.9056, 0.1956], [0.0699, -2.6949, -3.5625]], "species": ["P", "P", "Te", "O"], "fractional_positions": [[0.2500, 0.2500, 0.2500], [0.7500, 0.7500, 0.7500], [0.5000, 0.5000, 0.5000], [0.0000, 0.0000, 0.0000]], "final_energy_ev_per_atom": -3.978, "rho_kg_m3": 5413, "crystal_system": "cubic", "formation_energy_uncorrected_ev_per_atom": 0.752, "relative_energy_mev_per_atom": 534}


{"formula": "InSnGe2", "functional": "PBE-GGA", "state": "optimized geometry", "lattice": [[-4.0609, -0.3770, -0.7077], [-0.0346, -4.0921, 2.3782], [-0.9162, 2.3391, 4.0115]], "species": ["Ge", "Ge", "Sn", "In"], "fractional_positions": [[0.0000, 0.0000, 0.5000], [0.0000, 0.5000, 0.0000], [0.5000, 0.5000, 0.5000], [0.5000, 0.0000, 0.0000]], "final_energy_ev_per_atom": -3.777, "rho_kg_m3": 6783, "crystal_system": "tetragonal", "formation_energy_ev_per_atom": 0.2174, "relative_energy_mev_per_atom": 78}


{"formula": "HoPaGa4", "functional": "PBE-GGA", "state": "optimized geometry", "lattice": [[-1.3461, -1.5087, 5.1295], [3.9044, -0.3888, 3.8735], [0.1945, 3.6838, 4.0977]], "species": ["Pa", "Ho", "Ga", "Ga", "Ga", "Ga"], "fractional_positions": [[0.2500, 0.2500, 0.2500], [0.0000, 0.0000, 0.0000], [0.6246, 0.6246, 0.1262], [0.6246, 0.1262, 0.6246], [0.6246, 0.6246, 0.6246], [0.1262, 0.6246, 0.6246]], "final_energy_ev_per_atom": -4.717, "rho_kg_m3": 9455, "crystal_system": "cubic", "formation_energy_ev_per_atom": -0.3532, "relative_energy_mev_per_atom": 118}


{"formula": "KY2In", "functional": "PBE-GGA", "state": "optimized geometry", "lattice": [[-1.2020, 0.4445, 3.3015], [-1.3447, -3.2760, -0.0469], [9.7780, -4.0725, 4.1081]], "species": ["In", "K", "Y", "Y"], "fractional_positions": [[0.5000, 0.5000, 0.2500], [0.5000, 0.5000, 0.7500], [0.0000, 0.0000, 0.0673], [0.0000, 0.0000, 0.4327]], "final_energy_ev_per_atom": -4.183, "rho_kg_m3": 3866, "crystal_system": "tetragonal", "formation_energy_ev_per_atom": 0.0076}


{"formula": "TaZnTe2", "functional": "PBE-GGA", "state": "optimized geometry", "lattice": [[-0.7076, 5.7491, -0.1379], [-2.2527, 2.6348, 4.6428], [4.1946, -3.8312, -1.1402]], "species": ["Ta", "Te", "Te", "Zn"], "fractional_positions": [[0.7500, 0.2500, 0.5000], [0.0000, 0.0000, 0.0000], [0.2500, 0.7500, 0.5000], [0.5000, 0.5000, 0.0000]], "final_energy_ev_per_atom": -4.338, "rho_kg_m3": 9565, "crystal_system": "tetragonal", "formation_energy_uncorrected_ev_per_atom": 0.515}


{"formula": "NaCdIn6", "functional": "PBE-GGA", "state": "optimized geometry", "lattice": [[-3.0237, -0.3082, 4.7135], [5.2538, -2.0895, 3.2336], [-0.9950, 6.4333, -0.2175]], "species": ["Na", "Cd", "In", "In", "In", "In", "In", "In"], "fractional_positions": [[0.5000, 0.4072, 0.5928], [0.0000, 0.0976, 0.9024], [0.0000, 0.0791, 0.4016], [0.0000, 0.5984, 0.9209], [0.0000, 0.5838, 0.4162], [0.5000, 0.4140, 0.0942], [0.5000, 0.9058, 0.5860], [0.5000, 0.9138, 0.0862]], "final_energy_ev_per_atom": -2.342, "rho_kg_m3": 6466, "crystal_system": "orthorhombic", "formation_energy_ev_per_atom": -0.0093}


- Which formula does entry 5 have?
  HoPaGa4